Record 1
SrInReH2 | PBE-GGA | relaxed

The density comes out at 5.5 g cm⁻³. For the size of the total moment, the calculation gives 2.271 Bohr magnetons per cell. As for the space group: P4/mmm. As for the calculated volume: 117.8 Å³/cell. The value obtained for the energy above the most stable polymorph in this dataset is 0.012 eV per atom.

```
SrInReH2
1.0
4.075 0.000 0.000
0.000 4.075 0.000
0.000 0.000 7.094
Sr In Re H
1 1 1 2
direct
0.000 0.000 0.000 Sr
0.000 0.000 0.500 In
0.500 0.500 0.500 Re
0.000 0.500 0.000 H
0.500 0.000 0.000 H
```

=====

Record 2
MnTl2RuC | PBE-GGA | relaxed

The density comes out at 10.5 g cm⁻³. For the size of the total moment, the calculation gives 0.196 Bohr magnetons per cell. The value obtained for the formation energy is 1380 meV per atom. As for the space group: P4/mmm. As for the calculated volume: 90.8 Å³/cell.

```
MnTl2RuC
1.0
4.858 0.000 0.000
0.000 4.858 0.000
0.000 0.000 3.848
Mn Tl Ru C
1 2 1 1
direct
0.000 0.000 0.000 Mn
0.000 0.500 0.500 Tl
0.500 0.000 0.500 Tl
0.500 0.500 0.000 Ru
0.500 0.500 0.500 C
```

=====

Record 3
Pm2MgTc | PBE-GGA | relaxed

The density comes out at 6.7 g cm⁻³. For the size of the total moment, the calculation gives 0.884 Bohr magnetons per cell. The value obtained for the formation energy is 646 meV per atom. As for the space group: R-3m. As for the calculated volume: 102.5 Å³/cell. The value obtained for the energy above the most stable polymorph in this dataset is 0.628 eV per atom.

```
Pm2MgTc
1.0
1.618 0.934 11.303
-1.618 0.934 11.303
0.000 -1.868 11.303
Pm Mg Tc
2 1 1
direct
0.078 0.078 0.078 Pm
0.922 0.922 0.922 Pm
0.500 0.500 0.500 Mg
0.000 0.000 0.000 Tc
```

=====

Record 4
Eu3AgH | PBE-GGA | relaxed

The density comes out at 7.2 g cm⁻³. For the size of the total moment, the calculation gives 22.212 Bohr magnetons per cell. As for the space group: Pm-3m. As for the calculated volume: 130.2 Å³/cell. Its calculated total energy is -7.623 eV/atom.

```
Eu3AgH
1.0
5.068 0.000 0.000
0.000 5.068 0.000
0.000 0.000 5.068
Eu Ag H
3 1 1
direct
0.000 0.000 0.500 Eu
0.000 0.500 0.000 Eu
0.500 0.000 0.000 Eu
0.500 0.500 0.500 Ag
0.000 0.000 0.000 H
```

=====

Record 5
Zr4CoOs2 | PBE-GGA | relaxed

The density comes out at 9.9 g cm⁻³. For the size of the total moment, the calculation gives 0.000 Bohr magnetons per cell. The value obtained for the formation energy is -364 meV per atom. As for the space group: R-3m. As for the calculated volume: 135.1 Å³/cell.

```
Zr4CoOs2
1.0
2.289 1.322 7.438
-2.289 1.322 7.438
0.000 -2.644 7.438
Zr Co Os
4 1 2
direct
0.123 0.123 0.123 Zr
0.373 0.373 0.373 Zr
0.627 0.627 0.627 Zr
0.877 0.877 0.877 Zr
0.500 0.500 0.500 Co
0.248 0.248 0.248 Os
0.752 0.752 0.752 Os
```

=====

Record 6
ZnReOs2 | PBE-GGA | relaxed

The density comes out at 18.3 g cm⁻³. For the size of the total moment, the calculation gives 0.000 Bohr magnetons per cell. The value obtained for the formation energy is 332 meV per atom. As for the space group: Imm2. As for the calculated volume: 57.4 Å³/cell.

```
ZnReOs2
1.0
-1.486 2.192 4.403
1.486 -2.192 4.403
1.486 2.192 -4.403
Zn Re Os
1 1 2
direct
0.000 0.000 0.000 Zn
0.245 0.745 0.500 Re
0.498 0.498 0.000 Os
0.759 0.259 0.500 Os
```

=====

Record 7
Tb4DyIn2 | PBE-GGA | relaxed

The density comes out at 7.9 g cm⁻³. For the size of the total moment, the calculation gives 0.000 Bohr magnetons per cell. The value obtained for the formation energy is -113 meV per atom. As for the space group: P2_1/c. As for the calculated volume: 429.5 Å³/cell. The value obtained for the energy above the most stable polymorph in this dataset is 0.006 eV per atom.

```
Tb4DyIn2
1.0
6.258 0.000 0.000
0.000 10.783 0.000
-2.597 0.000 6.365
Tb Dy In
8 2 4
direct
0.003 0.166 0.499 Tb
0.003 0.334 0.999 Tb
0.496 0.718 0.499 Tb
0.496 0.782 0.999 Tb
0.504 0.218 0.001 Tb
0.504 0.282 0.501 Tb
0.997 0.666 0.001 Tb
0.997 0.834 0.501 Tb
0.000 0.000 0.000 Dy
0.000 0.500 0.500 Dy
0.466 0.501 0.195 In
0.466 0.999 0.695 In
0.534 0.001 0.305 In
0.534 0.499 0.805 In
```

=====

Record 8
NiBiI | PBE-GGA | relaxed

The density comes out at 7.9 g cm⁻³. For the size of the total moment, the calculation gives 0.000 Bohr magnetons per cell. As for the space group: Cmcm. As for the formation energy without anion corrections: -10 kJ per mole of atoms. As for the calculated volume: 164.9 Å³/cell. The value obtained for the energy above the most stable polymorph in this dataset is 0.000 eV per atom.

```
NiBiI
1.0
1.956 -9.972 0.000
1.956 9.972 0.000
0.000 0.000 4.228
Ni Bi I
2 2 2
direct
0.038 0.962 0.750 Ni
0.962 0.038 0.250 Ni
0.434 0.566 0.750 Bi
0.566 0.434 0.250 Bi
0.167 0.833 0.750 I
0.833 0.167 0.250 I
```